[1]
Computed, not measured: CuIrRu2 after structural relaxation at the PBE-GGA level of DFT.

## Properties
formation energy: 0.792 eV/atom
magnetization: 0.000 Bohr magnetons per cell
distance to the lowest polymorph of the same formula: 256.1 kJ/mol of formula units

CIF file:
```
data_CuIrRu2
_chemical_formula_sum 'Cu2 Ir2 Ru4'
_space_group_name_H-M_alt 'P 1'
_space_group_IT_number 1
_cell_length_a 5.599
_cell_length_b 5.599
_cell_length_c 5.599
_cell_angle_alpha 102.00
_cell_angle_beta 102.00
_cell_angle_gamma 125.74
loop_
_space_group_symop_operation_xyz
'x,y,z'
loop_
_atom_site_label
_atom_site_type_symbol
_atom_site_fract_x
_atom_site_fract_y
_atom_site_fract_z
_atom_site_occupancy
Cu1 Cu 0.000 0.000 0.000 1
Cu2 Cu 0.750 0.250 0.500 1
Ir1 Ir 0.250 0.750 0.500 1
Ir2 Ir 0.500 0.500 0.000 1
Ru1 Ru 0.158 0.625 0.033 1
Ru2 Ru 0.375 0.408 0.533 1
Ru3 Ru 0.592 0.125 0.967 1
Ru4 Ru 0.875 0.842 0.467 1
```

=====

[2]
Computed, not measured: Tb2CePbN after structural relaxation at the PBE-GGA level of DFT.

## Properties
magnetization: 0.880 Bohr magnetons per cell
raw formation energy: -0.90 eV per atom

CIF file:
```
data_Tb2CePbN
_chemical_formula_sum 'Tb2 Ce1 Pb1 N1'
_space_group_name_H-M_alt 'P 1'
_space_group_IT_number 1
_cell_length_a 4.898
_cell_length_b 4.898
_cell_length_c 4.877
_cell_angle_alpha 90.00
_cell_angle_beta 90.00
_cell_angle_gamma 90.00
loop_
_space_group_symop_operation_xyz
'x,y,z'
loop_
_atom_site_label
_atom_site_type_symbol
_atom_site_fract_x
_atom_site_fract_y
_atom_site_fract_z
_atom_site_occupancy
Tb1 Tb 0.000 0.500 0.000 1
Tb2 Tb 0.500 0.000 0.000 1
Ce1 Ce 0.000 0.000 0.500 1
Pb1 Pb 0.500 0.500 0.500 1
N1 N 0.000 0.000 0.000 1
```

=====

[3]
Computed, not measured: LiSnMo2 after structural relaxation at the PBE-GGA level of DFT.

## Properties
formation energy: 0.494 eV/atom
magnetization: 0.000 Bohr magnetons per cell

CIF file:
```
data_LiSnMo2
_chemical_formula_sum 'Li2 Sn2 Mo4'
_space_group_name_H-M_alt 'P 1'
_space_group_IT_number 1
_cell_length_a 10.386
_cell_length_b 10.386
_cell_length_c 10.386
_cell_angle_alpha 159.29
_cell_angle_beta 159.29
_cell_angle_gamma 29.46
loop_
_space_group_symop_operation_xyz
'x,y,z'
loop_
_atom_site_label
_atom_site_type_symbol
_atom_site_fract_x
_atom_site_fract_y
_atom_site_fract_z
_atom_site_occupancy
Li1 Li 0.000 0.000 0.000 1
Li2 Li 0.750 0.250 0.500 1
Sn1 Sn 0.250 0.750 0.500 1
Sn2 Sn 0.500 0.500 0.000 1
Mo1 Mo 0.124 0.625 0.999 1
Mo2 Mo 0.375 0.374 0.499 1
Mo3 Mo 0.626 0.125 0.001 1
Mo4 Mo 0.875 0.876 0.501 1
```

=====

[4]
Computed, not measured: SnSbSCl2 after structural relaxation at the PBE-GGA level of DFT.

## Properties
magnetization: 0.777 Bohr magnetons per cell
distance to the lowest polymorph of the same formula: 0.0 kJ/mol of formula units
raw formation energy: -0.11 eV per atom

CIF file:
```
data_SnSbSCl2
_chemical_formula_sum 'Sn1 Sb1 S1 Cl2'
_space_group_name_H-M_alt 'P 1'
_space_group_IT_number 1
_cell_length_a 5.297
_cell_length_b 5.297
_cell_length_c 5.269
_cell_angle_alpha 90.00
_cell_angle_beta 90.00
_cell_angle_gamma 90.00
loop_
_space_group_symop_operation_xyz
'x,y,z'
loop_
_atom_site_label
_atom_site_type_symbol
_atom_site_fract_x
_atom_site_fract_y
_atom_site_fract_z
_atom_site_occupancy
Sn1 Sn 0.000 0.000 0.000 1
Sb1 Sb 0.500 0.500 0.500 1
S1 S 0.500 0.500 0.000 1
Cl1 Cl 0.000 0.500 0.500 1
Cl2 Cl 0.500 0.000 0.500 1
```

=====

[5]
Computed, not measured: SrYRe2 after structural relaxation at the PBE-GGA level of DFT.

## Properties
formation energy: 0.929 eV/atom
magnetization: 0.000 Bohr magnetons per cell
distance to the lowest polymorph of the same formula: 265.8 kJ/mol of formula units

CIF file:
```
data_SrYRe2
_chemical_formula_sum 'Sr1 Y1 Re2'
_space_group_name_H-M_alt 'P 1'
_space_group_IT_number 1
_cell_length_a 2.927
_cell_length_b 2.927
_cell_length_c 10.005
_cell_angle_alpha 90.00
_cell_angle_beta 90.00
_cell_angle_gamma 107.15
loop_
_space_group_symop_operation_xyz
'x,y,z'
loop_
_atom_site_label
_atom_site_type_symbol
_atom_site_fract_x
_atom_site_fract_y
_atom_site_fract_z
_atom_site_occupancy
Sr1 Sr 0.000 0.000 0.000 1
Y1 Y 0.000 0.000 0.500 1
Re1 Re 0.500 0.500 0.263 1
Re2 Re 0.500 0.500 0.737 1
```

=====

[6]
Computed, not measured: Tb5NiTe5 after structural relaxation at the PBE-GGA level of DFT.

## Properties
magnetization: 0.000 Bohr magnetons per cell
raw formation energy: -1.14 eV per atom

CIF file:
```
data_Tb5NiTe5
_chemical_formula_sum 'Tb5 Ni1 Te5'
_space_group_name_H-M_alt 'P 1'
_space_group_IT_number 1
_cell_length_a 7.533
_cell_length_b 7.533
_cell_length_c 8.519
_cell_angle_alpha 107.84
_cell_angle_beta 107.84
_cell_angle_gamma 48.23
loop_
_space_group_symop_operation_xyz
'x,y,z'
loop_
_atom_site_label
_atom_site_type_symbol
_atom_site_fract_x
_atom_site_fract_y
_atom_site_fract_z
_atom_site_occupancy
Tb1 Tb 0.000 0.000 0.000 1
Tb2 Tb 0.343 0.343 0.156 1
Tb3 Tb 0.357 0.357 0.706 1
Tb4 Tb 0.643 0.643 0.294 1
Tb5 Tb 0.657 0.657 0.844 1
Ni1 Ni 0.500 0.500 0.000 1
Te1 Te 0.164 0.164 0.820 1
Te2 Te 0.180 0.180 0.340 1
Te3 Te 0.500 0.500 0.500 1
Te4 Te 0.820 0.820 0.660 1
Te5 Te 0.836 0.836 0.180 1
```

=====

[7]
Computed, not measured: LiYEr2S4 after structural relaxation at the PBE-GGA level of DFT.

## Properties
magnetization: 0.000 Bohr magnetons per cell
raw formation energy: -1.93 eV per atom

CIF file:
```
data_LiYEr2S4
_chemical_formula_sum 'Li1 Y1 Er2 S4'
_space_group_name_H-M_alt 'P 1'
_space_group_IT_number 1
_cell_length_a 6.689
_cell_length_b 3.856
_cell_length_c 6.692
_cell_angle_alpha 90.00
_cell_angle_beta 109.35
_cell_angle_gamma 90.00
loop_
_space_group_symop_operation_xyz
'x,y,z'
loop_
_atom_site_label
_atom_site_type_symbol
_atom_site_fract_x
_atom_site_fract_y
_atom_site_fract_z
_atom_site_occupancy
Li1 Li 0.000 0.000 0.000 1
Y1 Y 0.000 0.500 0.500 1
Er1 Er 0.500 0.000 0.500 1
Er2 Er 0.500 0.500 0.000 1
S1 S 0.248 0.500 0.245 1
S2 S 0.250 0.000 0.756 1
S3 S 0.750 0.000 0.244 1
S4 S 0.752 0.500 0.755 1
```

=====

[8]
Computed, not measured: Np3Bi5S12 after structural relaxation at the PBE-GGA level of DFT.

## Properties
magnetization: 48.001 Bohr magnetons per cell
raw formation energy: -0.55 eV per atom

CIF file:
```
data_Np3Bi5S12
_chemical_formula_sum 'Np12 Bi20 S48'
_space_group_name_H-M_alt 'P 1'
_space_group_IT_number 1
_cell_length_a 14.241
_cell_length_b 14.241
_cell_length_c 14.241
_cell_angle_alpha 109.47
_cell_angle_beta 109.47
_cell_angle_gamma 109.47
loop_
_space_group_symop_operation_xyz
'x,y,z'
loop_
_atom_site_label
_atom_site_type_symbol
_atom_site_fract_x
_atom_site_fract_y
_atom_site_fract_z
_atom_site_occupancy
Np1 Np 0.125 0.250 0.375 1
Np2 Np 0.125 0.375 0.750 1
Np3 Np 0.250 0.375 0.125 1
Np4 Np 0.250 0.875 0.625 1
Np5 Np 0.375 0.125 0.250 1
Np6 Np 0.375 0.750 0.125 1
Np7 Np 0.625 0.250 0.875 1
Np8 Np 0.625 0.875 0.750 1
Np9 Np 0.750 0.125 0.375 1
Np10 Np 0.750 0.625 0.875 1
Np11 Np 0.875 0.625 0.250 1
Np12 Np 0.875 0.750 0.625 1
Bi1 Bi 0.000 0.000 0.000 1
Bi2 Bi 0.000 0.000 0.500 1
Bi3 Bi 0.000 0.500 0.000 1
Bi4 Bi 0.000 0.500 0.500 1
Bi5 Bi 0.125 0.750 0.875 1
Bi6 Bi 0.125 0.875 0.250 1
Bi7 Bi 0.250 0.125 0.875 1
Bi8 Bi 0.250 0.625 0.375 1
Bi9 Bi 0.375 0.250 0.625 1
Bi10 Bi 0.375 0.625 0.750 1
Bi11 Bi 0.500 0.000 0.000 1
Bi12 Bi 0.500 0.000 0.500 1
Bi13 Bi 0.500 0.500 0.000 1
Bi14 Bi 0.500 0.500 0.500 1
Bi15 Bi 0.625 0.375 0.250 1
Bi16 Bi 0.625 0.750 0.375 1
Bi17 Bi 0.750 0.375 0.625 1
Bi18 Bi 0.750 0.875 0.125 1
Bi19 Bi 0.875 0.125 0.750 1
Bi20 Bi 0.875 0.250 0.125 1
S1 S 0.057 0.226 0.139 1
S2 S 0.057 0.331 0.917 1
S3 S 0.083 0.639 0.414 1
S4 S 0.083 0.943 0.669 1
S5 S 0.086 0.726 0.669 1
S6 S 0.086 0.861 0.417 1
S7 S 0.139 0.057 0.226 1
S8 S 0.139 0.583 0.914 1
S9 S 0.169 0.226 0.586 1
S10 S 0.169 0.443 0.583 1
S11 S 0.226 0.139 0.057 1
S12 S 0.226 0.586 0.169 1
S13 S 0.274 0.331 0.914 1
S14 S 0.274 0.443 0.361 1
S15 S 0.331 0.914 0.274 1
S16 S 0.331 0.917 0.057 1
S17 S 0.361 0.274 0.443 1
S18 S 0.361 0.586 0.917 1
S19 S 0.414 0.083 0.639 1
S20 S 0.414 0.831 0.774 1
S21 S 0.417 0.086 0.861 1
S22 S 0.417 0.831 0.557 1
S23 S 0.443 0.361 0.274 1
S24 S 0.443 0.583 0.169 1
S25 S 0.557 0.417 0.831 1
S26 S 0.557 0.639 0.726 1
S27 S 0.583 0.169 0.443 1
S28 S 0.583 0.914 0.139 1
S29 S 0.586 0.169 0.226 1
S30 S 0.586 0.917 0.361 1
S31 S 0.639 0.414 0.083 1
S32 S 0.639 0.726 0.557 1
S33 S 0.669 0.083 0.943 1
S34 S 0.669 0.086 0.726 1
S35 S 0.726 0.557 0.639 1
S36 S 0.726 0.669 0.086 1
S37 S 0.774 0.414 0.831 1
S38 S 0.774 0.861 0.943 1
S39 S 0.831 0.557 0.417 1
S40 S 0.831 0.774 0.414 1
S41 S 0.861 0.417 0.086 1
S42 S 0.861 0.943 0.774 1
S43 S 0.914 0.139 0.583 1
S44 S 0.914 0.274 0.331 1
S45 S 0.917 0.057 0.331 1
S46 S 0.917 0.361 0.586 1
S47 S 0.943 0.669 0.083 1
S48 S 0.943 0.774 0.861 1
```

=====

[9]
Computed, not measured: SnPb3Au after structural relaxation at the PBE-GGA level of DFT.

## Properties
formation energy: 0.306 eV/atom
magnetization: 0.000 Bohr magnetons per cell
distance to the lowest polymorph of the same formula: 157.4 kJ/mol of formula units

CIF file:
```
data_SnPb3Au
_chemical_formula_sum 'Sn1 Pb3 Au1'
_space_group_name_H-M_alt 'P 1'
_space_group_IT_number 1
_cell_length_a 5.560
_cell_length_b 5.560
_cell_length_c 5.560
_cell_angle_alpha 90.00
_cell_angle_beta 90.00
_cell_angle_gamma 90.00
loop_
_space_group_symop_operation_xyz
'x,y,z'
loop_
_atom_site_label
_atom_site_type_symbol
_atom_site_fract_x
_atom_site_fract_y
_atom_site_fract_z
_atom_site_occupancy
Sn1 Sn 0.000 0.000 0.000 1
Pb1 Pb 0.000 0.500 0.500 1
Pb2 Pb 0.500 0.000 0.500 1
Pb3 Pb 0.500 0.500 0.000 1
Au1 Au 0.500 0.500 0.500 1
```

=====

[10]
Computed, not measured: AcNi5P3 after structural relaxation at the PBE-GGA level of DFT.

## Properties
formation energy: -0.773 eV/atom
magnetization: 0.000 Bohr magnetons per cell

CIF file:
```
data_AcNi5P3
_chemical_formula_sum 'Ac2 Ni10 P6'
_space_group_name_H-M_alt 'P 1'
_space_group_IT_number 1
_cell_length_a 6.174
_cell_length_b 6.174
_cell_length_c 11.660
_cell_angle_alpha 90.00
_cell_angle_beta 90.00
_cell_angle_gamma 145.34
loop_
_space_group_symop_operation_xyz
'x,y,z'
loop_
_atom_site_label
_atom_site_type_symbol
_atom_site_fract_x
_atom_site_fract_y
_atom_site_fract_z
_atom_site_occupancy
Ac1 Ac 0.163 0.837 0.750 1
Ac2 Ac 0.837 0.163 0.250 1
Ni1 Ni 0.000 0.000 0.000 1
Ni2 Ni 0.000 0.000 0.500 1
Ni3 Ni 0.198 0.802 0.067 1
Ni4 Ni 0.198 0.802 0.433 1
Ni5 Ni 0.449 0.551 0.646 1
Ni6 Ni 0.449 0.551 0.854 1
Ni7 Ni 0.551 0.449 0.146 1
Ni8 Ni 0.551 0.449 0.354 1
Ni9 Ni 0.802 0.198 0.567 1
Ni10 Ni 0.802 0.198 0.933 1
P1 P 0.115 0.885 0.250 1
P2 P 0.382 0.618 0.035 1
P3 P 0.382 0.618 0.465 1
P4 P 0.618 0.382 0.535 1
P5 P 0.618 0.382 0.965 1
P6 P 0.885 0.115 0.750 1
```

=====

[11]
Computed, not measured: Sc3Cu after structural relaxation at the PBE-GGA level of DFT.

## Properties
formation energy: -0.112 eV/atom
magnetization: 0.455 Bohr magnetons per cell
distance to the lowest polymorph of the same formula: 9.5 kJ/mol of formula units

CIF file:
```
data_Sc3Cu
_chemical_formula_sum 'Sc6 Cu2'
_space_group_name_H-M_alt 'P 1'
_space_group_IT_number 1
_cell_length_a 6.045
_cell_length_b 6.045
_cell_length_c 8.787
_cell_angle_alpha 90.00
_cell_angle_beta 90.00
_cell_angle_gamma 148.07
loop_
_space_group_symop_operation_xyz
'x,y,z'
loop_
_atom_site_label
_atom_site_type_symbol
_atom_site_fract_x
_atom_site_fract_y
_atom_site_fract_z
_atom_site_occupancy
Sc1 Sc 0.057 0.943 0.750 1
Sc2 Sc 0.367 0.633 0.558 1
Sc3 Sc 0.367 0.633 0.942 1
Sc4 Sc 0.633 0.367 0.058 1
Sc5 Sc 0.633 0.367 0.442 1
Sc6 Sc 0.943 0.057 0.250 1
Cu1 Cu 0.251 0.749 0.250 1
Cu2 Cu 0.749 0.251 0.750 1
```

=====

[12]
Computed, not measured: TbSm2HfSb4 after structural relaxation at the PBE-GGA level of DFT.

## Properties
magnetization: 0.000 Bohr magnetons per cell
raw formation energy: -0.97 eV per atom

CIF file:
```
data_TbSm2HfSb4
_chemical_formula_sum 'Tb1 Sm2 Hf1 Sb4'
_space_group_name_H-M_alt 'P 1'
_space_group_IT_number 1
_cell_length_a 7.535
_cell_length_b 4.351
_cell_length_c 7.540
_cell_angle_alpha 90.00
_cell_angle_beta 109.31
_cell_angle_gamma 90.00
loop_
_space_group_symop_operation_xyz
'x,y,z'
loop_
_atom_site_label
_atom_site_type_symbol
_atom_site_fract_x
_atom_site_fract_y
_atom_site_fract_z
_atom_site_occupancy
Tb1 Tb 0.000 0.000 0.000 1
Sm1 Sm 0.000 0.500 0.500 1
Sm2 Sm 0.500 0.000 0.500 1
Hf1 Hf 0.500 0.500 0.000 1
Sb1 Sb 0.255 0.500 0.238 1
Sb2 Sb 0.265 0.000 0.768 1
Sb3 Sb 0.735 0.000 0.232 1
Sb4 Sb 0.745 0.500 0.762 1
```

=====

magnetization of number 1 (CuIrRu2)? 0.000 Bohr magnetons per cell

=====

Which formula does entry 2 have? Tb2CePbN